No. 1
An optimized crystal structure of CoOs2Br, computed with PBE-GGA.

a = 2.8504 Å, b = 4.5467 Å, c = 9.0798 Å
α = 90.00°, β = 90.00°, γ = 90.00°
Positions (direct):
Co1 0.0000 0.0000 0.0000
Co2 0.5000 0.5000 0.5000
Os1 0.0000 0.0000 0.5101
Os2 0.0000 0.5000 0.7628
Os3 0.5000 0.0000 0.2628
Os4 0.5000 0.5000 0.0101
Br1 0.0000 0.5000 0.2540
Br2 0.5000 0.0000 0.7540

Properties
total moment = 0.54 μB per atom
distance to the lowest polymorph of the same formula = 491 meV/atom
SG = Imm2, No. 44

***

No. 2
An optimized crystal structure of Co2OsBr, computed with PBE-GGA.

a = 5.7933 Å, b = 5.7933 Å, c = 8.8260 Å
α = 90.00°, β = 90.00°, γ = 90.00°
Positions (direct):
Co1 0.2282 0.2500 0.1250
Co2 0.2500 0.7282 0.3750
Co3 0.2500 0.7718 0.8750
Co4 0.2718 0.2500 0.6250
Co5 0.7282 0.7500 0.6250
Co6 0.7500 0.2282 0.8750
Co7 0.7500 0.2718 0.3750
Co8 0.7718 0.7500 0.1250
Os1 0.0000 0.0000 0.0000
Os2 0.0000 0.5000 0.2500
Os3 0.5000 0.0000 0.7500
Os4 0.5000 0.5000 0.5000
Br1 0.0000 0.0000 0.5000
Br2 0.0000 0.5000 0.7500
Br3 0.5000 0.0000 0.2500
Br4 0.5000 0.5000 0.0000

Properties
total moment = 0.00 μB per atom
distance to the lowest polymorph of the same formula = 423 meV/atom
SG = I-42d, No. 122